No. 1
VASP calculation (PBE) on a relaxed structure of Dy7Sn2Rh2.

Calculated values
Energy of formation from the pure elements = -0.51 eV/atom
Total moment = 0.000 μB per cell

```
11
Lattice="4.0779 -5.4451 0.0000 4.0779 5.4451 0.0000 0.0000 0.0000 7.0958" Properties=species:S:1:pos:R:3 pbc="T T T"
Dy 0.0000 0.0000 0.0000
Dy 2.0389 2.7225 1.7643
Dy 2.0389 2.7225 5.3315
Dy 2.0389 -2.7225 1.7643
Dy 2.0389 -2.7225 5.3315
Dy 4.0779 0.0000 1.6809
Dy 4.0779 0.0000 5.4149
Sn 1.4832 0.0000 3.5479
Sn 6.6725 0.0000 3.5479
Rh 4.0779 2.3385 0.0000
Rh 4.0779 -2.3385 0.0000
```

No. 2
VASP calculation (PBE) on a relaxed structure of Dy2Sn2Rh.

Calculated values
Energy of formation from the pure elements = -0.63 eV/atom
Total moment = 0.000 μB per cell

```
10
Lattice="-3.3281 6.3906 3.0993 3.3281 -6.3906 3.0993 3.3281 6.3906 -3.0993" Properties=species:S:1:pos:R:3 pbc="T T T"
Dy 1.3493 1.5187 0.0000
Dy 1.3493 -1.5187 3.0993
Dy 1.9788 7.9092 0.0000
Dy 1.9788 4.8719 3.0993
Sn 4.7911 1.7063 0.0000
Sn 1.4630 4.6843 0.0000
Sn 1.8650 1.7063 3.0993
Sn -1.4630 4.6843 3.0993
Rh 3.3281 0.0000 1.5496
Rh 0.0000 6.3906 1.5496
```

No. 3
VASP calculation (PBE) on a relaxed structure of Dy6SnRh2.

Calculated values
Energy of formation from the pure elements = -0.64 eV/atom
Total moment = 0.000 μB per cell

```
18
Lattice="-4.6946 4.8250 5.1935 4.6946 -4.8250 5.1935 4.6946 4.8250 -5.1935" Properties=species:S:1:pos:R:3 pbc="T T T"
Dy 4.6946 2.8651 -2.7363
Dy 2.7183 1.7472 0.0000
Dy 6.6709 1.7472 0.0000
Dy 1.8041 4.8250 -1.7677
Dy 2.8906 0.0000 3.4258
Dy 0.0000 1.9599 2.4572
Dy 4.6946 2.8651 2.7363
Dy 1.8041 4.8250 1.7677
Dy 2.8906 0.0000 6.9613
Dy -1.9763 3.0778 5.1935
Dy 1.9763 3.0778 5.1935
Dy 0.0000 1.9599 7.9299
Sn 0.0000 0.0000 0.0000
Sn 0.0000 0.0000 5.1935
Rh 4.6946 0.0000 1.3860
Rh 0.0000 3.2326 0.0000
Rh 0.0000 6.4173 0.0000
Rh 0.0000 4.8250 3.8076
```

No. 4
VASP calculation (PBE) on a relaxed structure of Dy3SnRh3.

Calculated values
Energy of formation from the pure elements = -0.65 eV/atom
Total moment = 0.000 μB per cell

```
14
Lattice="8.4687 0.0000 0.0000 -4.2344 7.3341 0.0000 0.0000 0.0000 4.8436" Properties=species:S:1:pos:R:3 pbc="T T T"
Dy -0.9897 3.0131 1.2109
Dy -1.1301 6.6847 1.2109
Dy 2.1146 2.3636 3.6327
Dy 2.1198 4.9705 1.2109
Dy 5.3645 0.6494 3.6327
Dy 5.2240 4.3210 3.6327
Sn 0.0000 4.8894 3.6327
Sn 4.2344 2.4447 1.2109
Rh -0.5080 1.5637 3.6327
Rh -2.6262 6.9922 3.6327
Rh 1.1002 1.2218 1.2109
Rh 3.1342 6.1123 3.6327
Rh 6.8605 0.3419 1.2109
Rh 4.7424 5.7704 1.2109
```

No. 5
VASP calculation (PBE) on a relaxed structure of Dy7SnRh4.

Calculated values
Energy of formation from the pure elements = -0.49 eV/atom
Total moment = 0.000 μB per cell

```
12
Lattice="6.7187 -2.8042 0.0000 6.7187 2.8042 0.0000 -5.4805 0.0000 7.7905" Properties=species:S:1:pos:R:3 pbc="T T T"
Dy 0.0000 0.0000 0.0000
Dy -0.9919 0.0000 4.9261
Dy 3.2607 0.0000 0.9215
Dy 2.3087 0.0000 4.8593
Dy 5.6483 0.0000 2.9312
Dy 4.6963 0.0000 6.8690
Dy 8.9489 0.0000 2.8644
Sn 6.7187 0.0000 0.0000
Rh -3.3542 0.0000 6.0379
Rh 0.8570 0.0000 2.6843
Rh 7.0999 0.0000 5.1062
Rh 11.3111 0.0000 1.7526
```

No. 6
VASP calculation (PBE) on a relaxed structure of Dy8Sn2Rh.

Calculated values
Energy of formation from the pure elements = -0.45 eV/atom
Total moment = 0.000 μB per cell

```
11
Lattice="9.5759 -2.4785 0.0000 9.5759 2.4785 0.0000 -1.6512 0.0000 6.4914" Properties=species:S:1:pos:R:3 pbc="T T T"
Dy -0.1065 0.0000 1.8287
Dy 2.7985 0.0000 5.3390
Dy 5.9773 0.0000 3.2349
Dy 7.7873 0.0000 0.2171
Dy 9.7133 0.0000 6.2743
Dy 11.5233 0.0000 3.2565
Dy 14.7020 0.0000 1.1524
Dy 17.6071 0.0000 4.6628
Sn 3.0629 0.0000 1.6927
Sn 14.4377 0.0000 4.7987
Rh 8.7503 0.0000 3.2457
```

No. 7
VASP calculation (PBE) on a relaxed structure of Dy3SnRh8.

Calculated values
Energy of formation from the pure elements = -0.62 eV/atom
Total moment = 0.000 μB per cell

```
12
Lattice="2.6521 1.5312 8.7229 -2.6521 1.5312 8.7229 0.0000 -3.0624 8.7229" Properties=species:S:1:pos:R:3 pbc="T T T"
Dy 0.0000 0.0000 0.0000
Dy 0.0000 0.0000 3.3451
Dy 0.0000 0.0000 13.2888
Sn 0.0000 0.0000 16.4928
Rh -1.3316 -0.7688 10.4499
Rh 0.0000 -1.5278 6.0890
Rh -1.3231 0.7639 6.0890
Rh 0.0000 0.0000 8.2589
Rh 1.3231 0.7639 6.0890
Rh 1.3316 -0.7688 10.4499
Rh 0.0000 1.5376 10.4499
Rh 0.0000 0.0000 21.3547
```

No. 8
VASP calculation (PBE) on a relaxed structure of Dy12SnRh6.

Calculated values
Energy of formation from the pure elements = -0.64 eV/atom
Total moment = 0.000 μB per cell

```
19
Lattice="-4.9403 4.9403 4.9403 4.9403 -4.9403 4.9403 4.9403 4.9403 -4.9403" Properties=species:S:1:pos:R:3 pbc="T T T"
Dy 4.9403 3.0633 -1.9701
Dy 2.9702 0.0000 1.8771
Dy 6.9104 0.0000 1.8771
Dy 1.8771 2.9702 0.0000
Dy 3.0633 -1.9701 4.9403
Dy 0.0000 1.8771 2.9702
Dy 4.9403 3.0633 1.9701
Dy 1.8771 6.9104 0.0000
Dy 3.0633 1.9701 4.9403
Dy -1.9701 4.9403 3.0633
Dy 1.9701 4.9403 3.0633
Dy 0.0000 1.8771 6.9104
Sn 0.0000 0.0000 0.0000
Rh 4.9403 1.2852 0.0000
Rh 4.9403 0.0000 3.6552
Rh 3.6552 4.9403 0.0000
Rh 1.2852 0.0000 4.9403
Rh 0.0000 4.9403 1.2852
Rh 0.0000 3.6552 4.9403
```